[1]
Below is a relaxed LiTmPbS3 crystal, with properties calculated at the GGA-PBE level.

Values from the calculation:
- energy above the lowest structure with this stoichiometry (eV per atom) = 0.000
- theoretical density (g/cm³) = 6.0

Cell: 8.606 8.606 8.318 Å, 103.63 103.63 26.21°
Sites, in units of the cell vectors:
S  0.328  0.328  0.191
S  0.500  0.500  0.000
S  0.672  0.672  0.809
S  0.332  0.332  0.639
S  0.000  0.000  0.500
S  0.668  0.668  0.361
Tm  0.165  0.165  0.586
Tm  0.835  0.835  0.414
Pb  0.134  0.134  0.064
Pb  0.866  0.866  0.936
Li  0.504  0.504  0.698
Li  0.496  0.496  0.302



[2]
Below is a relaxed TlCoAuSe2S crystal, with properties calculated at the GGA-PBE level.

Values from the calculation:
- DFT total energy (eV per atom) = -4.04
- theoretical density (g/cm³) = 8.1

Cell: 7.552 7.552 9.926 Å, 90.00 90.00 152.08°
Sites, in units of the cell vectors:
S  0.015  0.985  0.250
S  0.985  0.015  0.750
Tl  0.721  0.279  0.250
Tl  0.279  0.721  0.750
Se  0.606  0.394  0.499
Se  0.394  0.606  0.501
Se  0.606  0.394  0.001
Se  0.394  0.606  0.999
Co  0.000  0.000  0.500
Co  0.000  0.000  0.000
Au  0.620  0.380  0.750
Au  0.380  0.620  0.250



[3]
Below is a relaxed LuCuSiIr crystal, with properties calculated at the GGA-PBE level.

Values from the calculation:
- energy above the lowest structure with this stoichiometry (eV per atom) = 0.000
- theoretical density (g/cm³) = 12.1

Cell: 4.467 4.467 4.467 Å, 60.00 60.00 60.00°
Sites, in units of the cell vectors:
Si  0.000  0.000  0.000
Cu  0.750  0.750  0.750
Lu  0.500  0.500  0.500
Ir  0.250  0.250  0.250



[4]
Below is a relaxed Pr2Sb2IrOsO2 crystal, with properties calculated at the GGA-PBE level.

Values from the calculation:
- DFT total energy (eV per atom) = -7.52
- theoretical density (g/cm³) = 10.0

Cell: 4.263 4.263 8.618 Å, 90.00 90.00 90.00°
Sites, in units of the cell vectors:
Pr  0.000  0.500  0.629
Pr  0.500  0.000  0.371
O  0.000  0.000  0.500
O  0.500  0.500  0.500
Os  0.500  0.500  0.000
Sb  0.000  0.500  0.175
Sb  0.500  0.000  0.825
Ir  0.000  0.000  0.000



[5]
Below is a relaxed GdTlZnTe3 crystal, with properties calculated at the GGA-PBE level.

Values from the calculation:
- energy above the lowest structure with this stoichiometry (eV per atom) = 0.055
- theoretical density (g/cm³) = 7.1

Cell: 12.567 4.534 13.249 Å, 90.00 90.00 90.00°
Sites, in units of the cell vectors:
Te  0.402  0.500  0.937
Te  0.098  0.000  0.437
Te  0.962  0.000  0.152
Te  0.221  0.500  0.191
Te  0.538  0.500  0.652
Te  0.038  0.500  0.848
Te  0.902  0.500  0.563
Te  0.598  0.000  0.063
Te  0.279  0.000  0.691
Te  0.721  0.500  0.309
Te  0.462  0.000  0.348
Te  0.779  0.000  0.809
Tl  0.317  0.500  0.493
Tl  0.683  0.000  0.507
Tl  0.183  0.000  0.993
Tl  0.817  0.500  0.007
Zn  0.756  0.000  0.200
Zn  0.256  0.000  0.300
Zn  0.744  0.500  0.700
Zn  0.244  0.500  0.800
Gd  0.026  0.000  0.682
Gd  0.974  0.500  0.318
Gd  0.474  0.500  0.182
Gd  0.526  0.000  0.818



[6]
Below is a relaxed PrSeS crystal, with properties calculated at the GGA-PBE level.

Values from the calculation:
- energy above the lowest structure with this stoichiometry (eV per atom) = 0.402
- theoretical density (g/cm³) = 2.7

Cell: 4.198 10.282 10.282 Å, 135.20 90.00 90.00°
Sites, in units of the cell vectors:
S  0.500  0.665  0.840
S  0.500  0.840  0.665
Se  0.000  0.318  0.189
Se  0.000  0.189  0.318
Pr  0.000  0.615  0.615
Pr  0.500  0.028  0.028



[7]
Below is a relaxed DyHfNi crystal, with properties calculated at the GGA-PBE level.

Values from the calculation:
- energy above the lowest structure with this stoichiometry (eV per atom) = 0.000
- theoretical density (g/cm³) = 10.0
- formation enthalpy at 0 K (eV per atom) = 0.031

Cell: 4.546 4.546 4.546 Å, 60.00 60.00 60.00°
Sites, in units of the cell vectors:
Hf  0.750  0.750  0.750
Ni  0.000  0.000  0.000
Dy  0.250  0.250  0.250



[8]
Below is a relaxed YHoHg2 crystal, with properties calculated at the GGA-PBE level.

Values from the calculation:
- theoretical density (g/cm³) = 10.5
- formation enthalpy at 0 K (eV per atom) = -0.288

Cell: 5.430 6.777 6.777 Å, 123.96 90.00 90.00°
Sites, in units of the cell vectors:
Hg  0.250  0.186  0.356
Hg  0.750  0.356  0.186
Hg  0.750  0.801  0.156
Hg  0.250  0.156  0.801
Ho  0.750  0.312  0.617
Ho  0.250  0.617  0.312
Y  0.250  0.704  0.869
Y  0.750  0.869  0.704



[9]
Below is a relaxed FeNiBiMo crystal, with properties calculated at the GGA-PBE level.

Values from the calculation:
- energy above the lowest structure with this stoichiometry (eV per atom) = 0.000
- theoretical density (g/cm³) = 10.9

Cell: 4.484 4.484 4.484 Å, 60.00 60.00 60.00°
Sites, in units of the cell vectors:
Ni  0.750  0.750  0.750
Bi  0.000  0.000  0.000
Mo  0.250  0.250  0.250
Fe  0.500  0.500  0.500



[10]
Below is a relaxed BaTmPO crystal, with properties calculated at the GGA-PBE level.

Values from the calculation:
- energy above the lowest structure with this stoichiometry (eV per atom) = 0.201
- theoretical density (g/cm³) = 5.8

Cell: 3.964 6.872 7.436 Å, 90.00 90.00 90.00°
Sites, in units of the cell vectors:
O  0.500  0.277  0.890
O  0.500  0.723  0.390
Tm  0.000  0.610  0.459
Tm  0.000  0.390  0.959
P  0.000  0.745  0.808
P  0.000  0.255  0.308
Ba  0.500  0.939  0.097
Ba  0.500  0.061  0.597



[11]
Below is a relaxed Gd3Dy3Er2 crystal, with properties calculated at the GGA-PBE level.

Values from the calculation:
- theoretical density (g/cm³) = 8.5
- formation enthalpy at 0 K (eV per atom) = 0.010

Cell: 7.209 7.209 5.639 Å, 90.00 90.00 120.00°
Sites, in units of the cell vectors:
Gd  0.166  0.333  0.500
Gd  0.667  0.834  0.500
Gd  0.166  0.834  0.500
Dy  0.500  0.000  0.000
Dy  0.000  0.500  0.000
Dy  0.500  0.500  0.000
Er  0.000  0.000  0.000
Er  0.667  0.333  0.500



[12]
Below is a relaxed Hf4P3W2C3 crystal, with properties calculated at the GGA-PBE level.

Values from the calculation:
- DFT total energy (eV per atom) = -9.96
- theoretical density (g/cm³) = 11.8

Cell: 5.755 5.755 12.292 Å, 103.42 103.42 60.13°
Sites, in units of the cell vectors:
C  0.500  0.000  0.500
C  0.000  0.500  0.000
C  0.834  0.333  0.500
C  0.667  0.166  0.000
C  0.166  0.667  0.500
C  0.333  0.834  0.000
P  0.888  0.112  0.750
P  0.112  0.888  0.250
P  0.416  0.277  0.250
P  0.277  0.416  0.750
P  0.723  0.584  0.250
P  0.584  0.723  0.750
W  0.529  0.356  0.589
W  0.356  0.529  0.089
W  0.644  0.471  0.911
W  0.471  0.644  0.411
Hf  0.872  0.702  0.606
Hf  0.128  0.298  0.394
Hf  0.962  0.801  0.894
Hf  0.801  0.962  0.394
Hf  0.298  0.128  0.894
Hf  0.199  0.038  0.606
Hf  0.702  0.872  0.106
Hf  0.038  0.199  0.106



[13]
Below is a relaxed PrP2H7O7 crystal, with properties calculated at the GGA-PBE level.

Values from the calculation:
- DFT total energy (eV per atom) = -5.92
- theoretical density (g/cm³) = 2.9

Cell: 6.555 7.098 15.674 Å, 90.00 90.00 90.00°
Sites, in units of the cell vectors:
O  0.171  0.368  0.569
O  0.500  0.872  0.248
O  0.337  0.994  0.804
O  0.829  0.868  0.931
O  0.177  0.665  0.914
O  0.823  0.165  0.586
O  0.837  0.506  0.196
O  0.322  0.328  0.765
O  0.329  0.632  0.069
O  0.401  0.071  0.611
O  0.323  0.335  0.414
O  0.500  0.372  0.252
O  0.677  0.835  0.086
O  0.099  0.929  0.111
O  0.163  0.006  0.304
O  0.671  0.132  0.431
O  0.000  0.128  0.748
O  0.706  0.219  0.880
O  0.599  0.571  0.889
O  0.794  0.781  0.380
O  0.663  0.494  0.696
O  0.678  0.828  0.735
O  0.294  0.719  0.620
O  0.178  0.672  0.265
O  0.822  0.172  0.235
O  0.901  0.429  0.389
O  0.000  0.628  0.752
O  0.206  0.281  0.120
P  0.810  0.663  0.701
P  0.690  0.337  0.201
P  0.832  0.607  0.435
P  0.310  0.837  0.299
P  0.668  0.393  0.935
P  0.332  0.893  0.565
P  0.168  0.107  0.065
P  0.190  0.163  0.799
H  0.977  0.655  0.498
H  0.713  0.007  0.409
H  0.759  0.229  0.403
H  0.477  0.845  0.502
H  0.213  0.493  0.591
H  0.366  0.789  0.383
H  0.555  0.753  0.081
H  0.241  0.654  0.972
H  0.259  0.271  0.597
H  0.134  0.211  0.883
H  0.634  0.289  0.117
H  0.287  0.507  0.091
H  0.023  0.155  0.002
H  0.153  0.935  0.518
H  0.759  0.154  0.528
H  0.445  0.253  0.419
H  0.055  0.747  0.919
H  0.741  0.771  0.903
H  0.523  0.345  0.998
H  0.787  0.993  0.909
H  0.945  0.247  0.581
H  0.866  0.711  0.617
H  0.259  0.346  0.472
H  0.347  0.065  0.018
H  0.653  0.565  0.482
H  0.847  0.435  0.982
H  0.241  0.729  0.097
H  0.741  0.846  0.028
Pr  0.148  0.338  0.276
Pr  0.852  0.838  0.224
Pr  0.352  0.662  0.776
Pr  0.648  0.162  0.724



[14]
Below is a relaxed ScCuTe3Pb crystal, with properties calculated at the GGA-PBE level.

Values from the calculation:
- energy above the lowest structure with this stoichiometry (eV per atom) = 0.006
- theoretical density (g/cm³) = 6.8

Cell: 8.142 4.188 10.429 Å, 90.00 107.04 90.00°
Sites, in units of the cell vectors:
Cu  0.079  0.250  0.591
Cu  0.921  0.750  0.409
Te  0.567  0.250  0.873
Te  0.433  0.750  0.127
Te  0.053  0.250  0.838
Te  0.737  0.250  0.456
Te  0.947  0.750  0.162
Te  0.263  0.750  0.544
Sc  0.296  0.750  0.827
Sc  0.704  0.250  0.173
Pb  0.730  0.750  0.705
Pb  0.270  0.250  0.295